[1]
VASP calculation (PBE-GGA) on a geometry-optimized SrAl10Fe2 structure.

Density   3.71 Mg/m³
VASP energy   -4.57 eV per atom

Lattice parameters (Å, degrees): 6.8212 6.8212 9.1024 90.00 90.00 97.25
Fractional coordinates of all 26 atoms:
Sr  0.1193  0.8807  0.7500
Sr  0.8807  0.1193  0.2500
Al  0.1302  0.4114  0.7500
Al  0.1627  0.8373  0.0975
Al  0.1627  0.8373  0.4025
Al  0.2224  0.4758  0.2500
Al  0.2292  0.2292  0.0000
Al  0.2292  0.2292  0.5000
Al  0.3758  0.6242  0.5474
Al  0.3758  0.6242  0.9526
Al  0.4114  0.1302  0.2500
Al  0.4758  0.2224  0.7500
Al  0.5242  0.7776  0.2500
Al  0.5886  0.8698  0.7500
Al  0.6242  0.3758  0.0474
Al  0.6242  0.3758  0.4526
Al  0.7708  0.7708  0.0000
Al  0.7708  0.7708  0.5000
Al  0.7776  0.5242  0.7500
Al  0.8373  0.1627  0.5975
Al  0.8373  0.1627  0.9025
Al  0.8698  0.5886  0.2500
Fe  0.0000  0.5000  0.0000
Fe  0.0000  0.5000  0.5000
Fe  0.5000  0.0000  0.0000
Fe  0.5000  0.0000  0.5000

***

[2]
VASP calculation (PBE-GGA) on a geometry-optimized LiHfPa2P4 structure.

Density   7.95 Mg/m³
VASP energy   -7.65 eV per atom

Lattice parameters (Å, degrees): 6.4254 3.9200 6.8325 90.00 110.58 90.00
Fractional coordinates of all 8 atoms:
Li  0.0000  0.0000  0.0000
Hf  0.0000  0.5000  0.5000
Pa  0.5000  0.0000  0.5000
Pa  0.5000  0.5000  0.0000
P  0.2346  0.0000  0.7447
P  0.2372  0.5000  0.2493
P  0.7628  0.5000  0.7507
P  0.7654  0.0000  0.2553

***

[3]
VASP calculation (PBE-GGA) on a geometry-optimized Nd2GaCu2Rh5 structure.

Density   9.78 Mg/m³
VASP energy   -6.19 eV per atom

Lattice parameters (Å, degrees): 9.4613 9.4613 3.7916 90.00 90.00 90.00
Fractional coordinates of all 20 atoms:
Nd  0.1756  0.3244  0.0000
Nd  0.3244  0.8244  0.0000
Nd  0.6756  0.1756  0.0000
Nd  0.8244  0.6756  0.0000
Ga  0.0000  0.0000  0.0000
Ga  0.5000  0.5000  0.0000
Cu  0.1227  0.6227  0.0000
Cu  0.3773  0.1227  0.0000
Cu  0.6227  0.8773  0.0000
Cu  0.8773  0.3773  0.0000
Rh  0.0000  0.5000  0.5000
Rh  0.0646  0.7986  0.5000
Rh  0.2014  0.0646  0.5000
Rh  0.2986  0.5646  0.5000
Rh  0.4354  0.2986  0.5000
Rh  0.5000  0.0000  0.5000
Rh  0.5646  0.7014  0.5000
Rh  0.7014  0.4354  0.5000
Rh  0.7986  0.9354  0.5000
Rh  0.9354  0.2014  0.5000

***

[4]
VASP calculation (PBE-GGA) on a geometry-optimized NaScBeB structure.

Relative energy among the computed polymorphs   38 meV/atom
Density   1.91 Mg/m³

Lattice parameters (Å, degrees): 3.5148 3.5148 21.3478 90.00 90.00 120.00
Fractional coordinates of all 12 atoms:
Na  0.0000  0.0000  0.0000
Na  0.3333  0.6667  0.6667
Na  0.6667  0.3333  0.3333
Sc  0.0000  0.0000  0.4865
Sc  0.3333  0.6667  0.1531
Sc  0.6667  0.3333  0.8198
Be  0.0000  0.0000  0.2228
Be  0.3333  0.6667  0.8895
Be  0.6667  0.3333  0.5561
B  0.0000  0.0000  0.8742
B  0.3333  0.6667  0.5409
B  0.6667  0.3333  0.2076

***

[5]
VASP calculation (PBE-GGA) on a geometry-optimized Tb2YSc5 structure.

Relative energy among the computed polymorphs   41 meV/atom
Density   4.81 Mg/m³

Lattice parameters (Å, degrees): 3.3579 10.4842 12.3751 90.00 90.00 90.00
Fractional coordinates of all 16 atoms:
Tb  0.0000  0.0000  0.2456
Tb  0.0000  0.0000  0.7544
Tb  0.5000  0.5000  0.2544
Tb  0.5000  0.5000  0.7456
Y  0.0000  0.5000  0.5000
Y  0.5000  0.0000  0.0000
Sc  0.0000  0.0000  0.5000
Sc  0.0000  0.2690  0.1311
Sc  0.0000  0.2690  0.8689
Sc  0.0000  0.7310  0.1311
Sc  0.0000  0.7310  0.8689
Sc  0.5000  0.2310  0.3689
Sc  0.5000  0.2310  0.6311
Sc  0.5000  0.5000  0.0000
Sc  0.5000  0.7690  0.3689
Sc  0.5000  0.7690  0.6311

***

[6]
VASP calculation (PBE-GGA) on a geometry-optimized LaSn2Pb structure.

Density   7.64 Mg/m³
VASP energy   -4.43 eV per atom

Lattice parameters (Å, degrees): 8.7687 8.7687 6.5996 90.00 90.00 90.00
Fractional coordinates of all 16 atoms:
La  0.0000  0.0000  0.0000
La  0.0000  0.5000  0.2500
La  0.5000  0.0000  0.7500
La  0.5000  0.5000  0.5000
Sn  0.2335  0.2500  0.6250
Sn  0.2500  0.7335  0.8750
Sn  0.2500  0.7665  0.3750
Sn  0.2665  0.2500  0.1250
Sn  0.7335  0.7500  0.1250
Sn  0.7500  0.2335  0.3750
Sn  0.7500  0.2665  0.8750
Sn  0.7665  0.7500  0.6250
Pb  0.0000  0.0000  0.5000
Pb  0.0000  0.5000  0.7500
Pb  0.5000  0.0000  0.2500
Pb  0.5000  0.5000  0.0000

***

[7]
VASP calculation (PBE-GGA) on a geometry-optimized Y2CrRe structure.

Relative energy among the computed polymorphs   187 meV/atom
Density   8.05 Mg/m³

Lattice parameters (Å, degrees): 7.0010 7.0010 7.0010 90.00 90.00 90.00
Fractional coordinates of all 16 atoms:
Y  0.2500  0.2500  0.2500
Y  0.2500  0.2500  0.7500
Y  0.2500  0.7500  0.2500
Y  0.2500  0.7500  0.7500
Y  0.7500  0.2500  0.2500
Y  0.7500  0.2500  0.7500
Y  0.7500  0.7500  0.2500
Y  0.7500  0.7500  0.7500
Cr  0.0000  0.0000  0.0000
Cr  0.0000  0.5000  0.5000
Cr  0.5000  0.0000  0.5000
Cr  0.5000  0.5000  0.0000
Re  0.0000  0.0000  0.5000
Re  0.0000  0.5000  0.0000
Re  0.5000  0.0000  0.0000
Re  0.5000  0.5000  0.5000

***

[8]
VASP calculation (PBE-GGA) on a geometry-optimized LaPmYCo structure.

Density   6.33 Mg/m³
VASP energy   -5.80 eV per atom

Lattice parameters (Å, degrees): 3.5599 4.8492 13.1247 90.00 90.00 90.00
Fractional coordinates of all 8 atoms:
La  0.0000  0.0000  0.0000
La  0.0000  0.5000  0.5000
Pm  0.5000  0.0000  0.6543
Pm  0.5000  0.5000  0.1543
Y  0.5000  0.0000  0.3366
Y  0.5000  0.5000  0.8366
Co  0.0000  0.0000  0.8180
Co  0.0000  0.5000  0.3180